No. 1
This record from the Alexandria database describes Sc3Pd5Au after structural relaxation. The functional is PBE-GGA.

Cell: 5.5708 8.0134 8.0135 Å, 120.00 90.00 90.00°
Atoms (fractional coordinates):
Sc 0.7500 0.3465 0.3465
Sc 0.7500 0.0000 0.6535
Sc 0.7500 0.6535 0.0000
Sc 0.2500 0.6535 0.6535
Sc 0.2500 0.0000 0.3465
Sc 0.2500 0.3465 0.0000
Pd 0.0000 0.6667 0.3333
Pd 0.5000 0.3333 0.6667
Pd 0.0000 0.3333 0.6667
Pd 0.5000 0.6667 0.3333
Pd 0.7500 0.6736 0.6736
Pd 0.7500 0.0000 0.3264
Pd 0.7500 0.3264 0.0000
Pd 0.2500 0.3264 0.3264
Pd 0.2500 0.0000 0.6736
Pd 0.2500 0.6736 0.0000
Au 0.0000 0.0000 0.0000
Au 0.5000 0.0000 0.0000

Output
The calculation puts the formation energy at -19.30 kcal/mol of atoms. Its total energy is -6.20 eV per atom.

=====

No. 2
This record from the Alexandria database describes Li3Cu5O8 after structural relaxation. The functional is PBE-GGA.

Cell: 5.8873 5.8873 5.8873 Å, 60.11 60.11 60.11°
Atoms (fractional coordinates):
Li 0.0000 0.5000 0.0000
Li 0.5000 0.0000 0.0000
Li 0.0000 0.0000 0.5000
Cu 0.5000 0.5000 0.5000
Cu 0.0000 0.0000 0.0000
Cu 0.5000 0.5000 0.0000
Cu 0.5000 0.0000 0.5000
Cu 0.0000 0.5000 0.5000
O 0.2568 0.2568 0.2568
O 0.7501 0.7501 0.2612
O 0.7501 0.2612 0.7501
O 0.2612 0.7501 0.7501
O 0.7388 0.2499 0.2499
O 0.2499 0.7388 0.2499
O 0.2499 0.2499 0.7388
O 0.7432 0.7432 0.7432

Output
Its total energy is -5.01 eV per atom. The calculation puts the formation energy (no corrections) at -0.89 eV/atom.

=====

No. 3
This record from the Alexandria database describes InFe2Cu after structural relaxation. The functional is PBE-GGA.

Cell: 8.4228 8.4228 8.4228 Å, 19.85 19.85 19.85°
Atoms (fractional coordinates):
Cu 0.7420 0.7420 0.7420
Fe 0.9966 0.9966 0.9966
Fe 0.2601 0.2601 0.2601
In 0.5013 0.5013 0.5013

Output
The calculation puts the formation energy at 8.30 kcal/mol of atoms. Its total energy is -5.58 eV per atom.

=====

No. 4
This record from the Alexandria database describes TmTi2H4 after structural relaxation. The functional is PBE-GGA.

Cell: 5.8890 5.8890 5.8875 Å, 119.99 119.99 89.97°
Atoms (fractional coordinates):
Tm 0.2497 0.7502 0.5000
Tm 0.0003 0.9998 0.0000
Ti 0.6250 0.3750 0.7500
Ti 0.6250 0.8750 0.2500
Ti 0.6250 0.3750 0.2500
Ti 0.1250 0.3750 0.7500
H 0.8519 0.1480 0.2963
H 0.3981 0.6020 0.2037
H 0.8517 0.5557 0.7037
H 0.8520 0.1481 0.7037
H 0.4443 0.1483 0.2963
H 0.3983 0.1943 0.7963
H 0.3980 0.6019 0.7963
H 0.8057 0.6017 0.2037

Output
Its total energy is -5.27 eV per atom.

=====

No. 5
This record from the Alexandria database describes YCr4Cl after structural relaxation. The functional is PBE-GGA.

Cell: 5.0788 5.0788 5.0788 Å, 60.00 60.00 60.00°
Atoms (fractional coordinates):
Y 0.7500 0.7500 0.7500
Cr 0.8739 0.3754 0.3754
Cr 0.3754 0.3754 0.8739
Cr 0.3754 0.8739 0.3754
Cr 0.3754 0.3754 0.3754
Cl 0.0000 0.0000 0.0000

Output
Its total energy is -7.06 eV per atom. The calculation puts the formation energy (no corrections) at 0.74 eV/atom.

=====

No. 6
This record from the Alexandria database describes Al2SnMo after structural relaxation. The functional is PBE-GGA.

Cell: 7.6952 7.6952 6.0850 Å, 50.78 50.78 90.00°
Atoms (fractional coordinates):
Mo 0.5000 0.5000 0.0000
Mo 0.2500 0.7500 0.5000
Sn 0.0000 0.0000 0.0000
Sn 0.7500 0.2500 0.5000
Al 0.5896 0.1250 0.2500
Al 0.1604 0.6250 0.2500
Al 0.3750 0.4104 0.7500
Al 0.8750 0.8396 0.7500

Output
The calculation puts the formation energy at 12.61 kcal/mol of atoms. Its total energy is -5.03 eV per atom.

=====

No. 7
This record from the Alexandria database describes ScCdAu4 after structural relaxation. The functional is PBE-GGA.

Cell: 3.7867 5.0822 7.0711 Å, 102.00 74.47 68.13°
Atoms (fractional coordinates):
Sc 0.5000 0.5000 0.5000
Cd 0.0000 0.0000 0.0000
Au 0.8401 0.4964 0.8234
Au 0.3242 0.0112 0.3404
Au 0.1599 0.5036 0.1766
Au 0.6758 0.9888 0.6596

Output
The calculation puts the formation energy at -10.57 kcal/mol of atoms. The value obtained for the relative energy among the computed polymorphs is 0 meV per atom. Its total energy is -3.85 eV per atom.

=====

No. 8
This record from the Alexandria database describes PPtAuO2 after structural relaxation. The functional is PBE-GGA.

Cell: 3.7875 3.7875 5.4502 Å, 90.00 90.00 90.00°
Atoms (fractional coordinates):
P 0.0000 0.0000 0.5000
Au 0.5000 0.5000 0.5000
O 0.0000 0.5000 0.0000
O 0.5000 0.0000 0.0000
Pt 0.0000 0.0000 0.0000

Output
The value obtained for the relative energy among the computed polymorphs is 0 meV per atom. Its total energy is -4.71 eV per atom. The calculation puts the formation energy (no corrections) at 0.22 eV/atom.

=====

No. 9
This record from the Alexandria database describes CePm4Tl2 after structural relaxation. The functional is PBE-GGA.

Cell: 5.5376 5.5376 9.6387 Å, 73.31 73.31 60.00°
Atoms (fractional coordinates):
Ce 0.5000 0.5000 0.5000
Pm 0.7331 0.7331 0.8006
Pm 0.8684 0.8684 0.3947
Pm 0.2669 0.2669 0.1994
Pm 0.1316 0.1316 0.6053
Tl 0.6158 0.6158 0.1526
Tl 0.3842 0.3842 0.8474

Output
The calculation puts the formation energy at 1.37 kcal/mol of atoms. The value obtained for the relative energy among the computed polymorphs is 0 meV per atom. Its total energy is -4.18 eV per atom.

=====

No. 10
This record from the Alexandria database describes LaNdSiI after structural relaxation. The functional is PBE-GGA.

Cell: 4.3232 4.3233 8.3598 Å, 90.00 104.98 120.00°
Atoms (fractional coordinates):
La 0.5048 0.1504 0.6704
Nd 0.1021 0.9489 0.0664
Si 0.3076 0.5517 0.8747
I 0.9634 0.3797 0.3582

Output
Its total energy is -5.13 eV per atom. The calculation puts the formation energy (no corrections) at -0.97 eV/atom.

=====

What is the formula in the fourth record?
TmTi2H4

=====

Number 2 is which compound?
Li3Cu5O8

=====

Copy entry 2 word for word.
This record from the Alexandria database describes Li3Cu5O8 after structural relaxation. The functional is PBE-GGA.

Cell: 5.8873 5.8873 5.8873 Å, 60.11 60.11 60.11°
Atoms (fractional coordinates):
Li 0.0000 0.5000 0.0000
Li 0.5000 0.0000 0.0000
Li 0.0000 0.0000 0.5000
Cu 0.5000 0.5000 0.5000
Cu 0.0000 0.0000 0.0000
Cu 0.5000 0.5000 0.0000
Cu 0.5000 0.0000 0.5000
Cu 0.0000 0.5000 0.5000
O 0.2568 0.2568 0.2568
O 0.7501 0.7501 0.2612
O 0.7501 0.2612 0.7501
O 0.2612 0.7501 0.7501
O 0.7388 0.2499 0.2499
O 0.2499 0.7388 0.2499
O 0.2499 0.2499 0.7388
O 0.7432 0.7432 0.7432

Output
Its total energy is -5.01 eV per atom. The calculation puts the formation energy (no corrections) at -0.89 eV/atom.